Entry from the Alexandria database: an optimized crystal structure of Pr3Ag7Ge4 (PBE-GGA).

```
Pr3Ag7Ge4
1.0
8.256 -2.243 0.000
8.256 2.243 0.000
-5.713 0.000 7.986
Pr Ag Ge
3 7 4
Cartesian
0.000 0.000 0.000 Pr
3.288 0.000 2.375 Pr
7.511 0.000 5.611 Pr
-2.856 0.000 3.993 Ag
0.135 0.000 3.348 Ag
-0.181 0.000 7.858 Ag
4.163 0.000 5.512 Ag
6.636 0.000 2.474 Ag
10.981 0.000 0.128 Ag
10.664 0.000 4.638 Ag
-2.748 0.000 6.680 Ge
1.489 0.000 5.820 Ge
9.311 0.000 2.167 Ge
13.548 0.000 1.307 Ge
```

Space group: C2/m (12)
Energy of formation from the pure elements, kJ per mole of atoms: -36.7



Entry from the Alexandria database: an optimized crystal structure of PrAg3Ge2 (PBE-GGA).

```
PrAg3Ge2
1.0
8.130 -2.176 0.000
8.130 2.176 0.000
-3.476 0.000 6.995
Pr Ag Ge
2 6 4
Cartesian
2.137 0.000 0.456 Pr
10.646 0.000 6.540 Pr
-0.553 0.000 2.700 Ag
3.164 0.000 3.874 Ag
5.380 0.000 2.074 Ag
7.403 0.000 4.921 Ag
9.620 0.000 3.122 Ag
13.337 0.000 4.295 Ag
0.796 0.000 5.075 Ge
4.960 0.000 5.817 Ge
7.824 0.000 1.178 Ge
11.988 0.000 1.920 Ge
```

Space group: C2/m (12)
Energy of formation from the pure elements, kJ per mole of atoms: -29.7



Entry from the Alexandria database: an optimized crystal structure of Pr8AgGe5 (PBE-GGA).

```
Pr8AgGe5
1.0
-4.625 4.625 4.649
4.625 -4.625 4.649
4.625 4.625 -4.649
Pr Ag Ge
8 1 5
Cartesian
4.016 2.998 -2.869 Pr
3.957 1.735 0.606 Pr
2.890 -0.668 4.043 Pr
0.609 1.627 1.780 Pr
1.735 5.293 -0.606 Pr
1.627 -0.609 7.518 Pr
2.998 5.234 2.869 Pr
0.668 2.890 5.254 Pr
0.000 4.625 2.324 Ag
1.172 2.327 -1.132 Ge
6.924 1.172 1.132 Ge
0.000 0.000 4.649 Ge
3.454 2.299 3.517 Ge
-2.299 3.454 5.781 Ge
```

Space group: I-4 (82)
Energy of formation from the pure elements, kJ per mole of atoms: -65.0



Entry from the Alexandria database: an optimized crystal structure of Pr2AgGe2 (PBE-GGA).

```
Pr2AgGe2
1.0
5.624 -2.253 0.000
5.624 2.253 0.000
-5.027 0.000 9.522
Pr Ag Ge
4 2 4
Cartesian
-1.569 0.000 3.097 Pr
1.589 0.000 0.977 Pr
4.632 0.000 8.545 Pr
7.790 0.000 6.425 Pr
-0.113 0.000 6.126 Ag
6.334 0.000 3.396 Ag
1.974 0.000 4.092 Ge
4.806 0.000 1.055 Ge
1.415 0.000 8.467 Ge
4.247 0.000 5.430 Ge
```

Space group: C2/m (12)
Energy of formation from the pure elements, kJ per mole of atoms: -64.1



Entry from the Alexandria database: an optimized crystal structure of PrAgGe (PBE-GGA).

```
PrAgGe
1.0
7.388 0.000 0.000
0.000 4.424 0.000
-0.155 0.000 12.610
Pr Ag Ge
6 6 6
Cartesian
0.142 1.106 1.577 Pr
1.147 1.106 5.301 Pr
3.401 3.318 10.027 Pr
3.832 1.106 2.584 Pr
6.086 3.318 7.309 Pr
7.091 3.318 11.033 Pr
0.953 1.106 8.870 Ag
2.585 3.318 0.516 Ag
3.609 3.318 5.179 Ag
3.623 1.106 7.431 Ag
4.648 1.106 12.095 Ag
6.279 3.318 3.740 Ag
1.685 3.318 3.156 Ge
1.768 3.318 7.416 Ge
1.792 1.106 11.624 Ge
5.441 3.318 0.986 Ge
5.465 1.106 5.195 Ge
5.547 1.106 9.454 Ge
```

Space group: P2_1/m (11)
Energy of formation from the pure elements, kJ per mole of atoms: -59.1



Entry from the Alexandria database: an optimized crystal structure of Pr5Ag4Ge (PBE-GGA).

```
Pr5Ag4Ge
1.0
3.724 0.000 0.000
0.000 3.724 0.000
0.000 0.000 19.258
Pr Ag Ge
5 4 1
Cartesian
0.000 0.000 0.000 Pr
0.000 0.000 3.888 Pr
0.000 0.000 7.793 Pr
0.000 0.000 11.465 Pr
0.000 0.000 15.369 Pr
1.862 1.862 1.946 Ag
1.862 1.862 5.757 Ag
1.862 1.862 13.500 Ag
1.862 1.862 17.312 Ag
1.862 1.862 9.629 Ge
```

Space group: P4/mmm (123)
Energy of formation from the pure elements, kJ per mole of atoms: -31.5



Entry from the Alexandria database: an optimized crystal structure of PrAgGe (PBE-GGA).

```
PrAgGe
1.0
4.583 0.000 0.000
-2.291 3.969 0.000
0.000 0.000 7.725
Pr Ag Ge
2 2 2
Cartesian
0.000 0.000 0.000 Pr
0.000 0.000 3.862 Pr
0.000 2.646 1.765 Ag
2.291 1.323 5.627 Ag
0.000 2.646 6.085 Ge
2.291 1.323 2.223 Ge
```

Space group: P6_3mc (186)
Energy of formation from the pure elements, kJ per mole of atoms: -58.4



Entry from the Alexandria database: an optimized crystal structure of PrAgGe (PBE-GGA).

```
PrAgGe
1.0
6.765 0.000 0.000
0.000 6.765 0.000
0.000 0.000 6.765
Pr Ag Ge
4 4 4
Cartesian
0.000 0.000 0.000 Pr
0.000 3.382 3.382 Pr
3.382 0.000 3.382 Pr
3.382 3.382 0.000 Pr
0.000 0.000 3.382 Ag
0.000 3.382 0.000 Ag
3.382 0.000 0.000 Ag
3.382 3.382 3.382 Ag
1.691 1.691 5.074 Ge
1.691 5.074 1.691 Ge
5.074 1.691 1.691 Ge
5.074 5.074 5.074 Ge
```

Space group: F-43m (216)
Energy of formation from the pure elements, kJ per mole of atoms: -46.1



Entry from the Alexandria database: an optimized crystal structure of PrAgGe2Pt5 (PBE-GGA).

```
PrAgGe2Pt5
1.0
4.208 0.000 0.000
0.000 4.208 0.000
0.000 0.000 9.379
Pr Ag Ge Pt
1 1 2 5
Cartesian
0.000 0.000 0.000 Pr
0.000 0.000 4.689 Ag
2.104 2.104 3.476 Ge
2.104 2.104 5.902 Ge
0.000 2.104 2.181 Pt
0.000 2.104 7.197 Pt
2.104 0.000 2.181 Pt
2.104 0.000 7.197 Pt
2.104 2.104 0.000 Pt
```

Space group: P4/mmm (123)
Energy of formation from the pure elements, kJ per mole of atoms: -50.0



Entry from the Alexandria database: an optimized crystal structure of Pr3AgGe6Pt2 (PBE-GGA).

```
Pr3AgGe6Pt2
1.0
6.072 0.000 0.000
-3.036 5.259 0.000
0.000 0.000 8.344
Pr Ag Ge Pt
3 1 6 2
Cartesian
0.000 0.000 0.000 Pr
0.000 3.506 5.318 Pr
3.036 1.753 3.026 Pr
0.000 0.000 4.172 Ag
0.000 2.013 2.332 Ge
-1.293 4.252 2.332 Ge
1.744 1.007 6.012 Ge
1.293 4.252 2.332 Ge
4.329 1.007 6.012 Ge
3.036 3.246 6.012 Ge
0.000 3.506 0.186 Pt
3.036 1.753 8.157 Pt
```

Space group: P-3m1 (164)
Energy of formation from the pure elements, kJ per mole of atoms: -36.7



Entry from the Alexandria database: an optimized crystal structure of PrPuAgGe (PBE-GGA).

```
PrPuAgGe
1.0
7.381 0.000 0.000
0.000 7.381 0.000
0.000 0.000 7.381
Pr Pu Ag Ge
4 4 4 4
Cartesian
0.000 0.000 0.000 Pr
0.000 3.691 3.691 Pr
3.691 0.000 3.691 Pr
3.691 3.691 0.000 Pr
0.000 0.000 3.691 Pu
0.000 3.691 0.000 Pu
3.691 0.000 0.000 Pu
3.691 3.691 3.691 Pu
1.845 1.845 1.845 Ag
1.845 5.536 5.536 Ag
5.536 1.845 5.536 Ag
5.536 5.536 1.845 Ag
1.845 1.845 5.536 Ge
1.845 5.536 1.845 Ge
5.536 1.845 1.845 Ge
5.536 5.536 5.536 Ge
```

Space group: F-43m (216)
Energy of formation from the pure elements, kJ per mole of atoms: -30.8



Entry from the Alexandria database: an optimized crystal structure of Pr2AgGeS5 (PBE-GGA).

```
Pr2AgGeS5
1.0
2.062 -8.633 0.000
2.062 8.633 0.000
0.000 0.000 11.217
Pr Ag Ge S
4 2 2 10
Cartesian
2.062 6.569 5.608 Pr
2.062 6.425 1.321 Pr
2.062 -6.425 6.929 Pr
2.062 -6.569 0.000 Pr
2.062 4.727 9.502 Ag
2.062 -4.727 3.894 Ag
2.062 1.156 3.120 Ge
2.062 -1.156 8.728 Ge
2.062 7.883 9.792 S
2.062 3.597 5.548 S
2.062 3.144 1.901 S
2.062 2.247 9.126 S
2.062 0.044 1.050 S
2.062 -0.044 6.659 S
2.062 -2.247 3.517 S
2.062 -3.144 7.509 S
2.062 -3.597 11.156 S
2.062 -7.883 4.184 S
```

Space group: Cmc2_1 (36)
Energy relative to the elements, uncorrected, eV per atom: -1.175



Repeat the tenth record exactly.
Entry from the Alexandria database: an optimized crystal structure of Pr3AgGe6Pt2 (PBE-GGA).

```
Pr3AgGe6Pt2
1.0
6.072 0.000 0.000
-3.036 5.259 0.000
0.000 0.000 8.344
Pr Ag Ge Pt
3 1 6 2
Cartesian
0.000 0.000 0.000 Pr
0.000 3.506 5.318 Pr
3.036 1.753 3.026 Pr
0.000 0.000 4.172 Ag
0.000 2.013 2.332 Ge
-1.293 4.252 2.332 Ge
1.744 1.007 6.012 Ge
1.293 4.252 2.332 Ge
4.329 1.007 6.012 Ge
3.036 3.246 6.012 Ge
0.000 3.506 0.186 Pt
3.036 1.753 8.157 Pt
```

Space group: P-3m1 (164)
Energy of formation from the pure elements, kJ per mole of atoms: -36.7